[1]
A plane-wave DFT calculation with PBE-GGA was carried out for a relaxed ErNp2Tl3S6 crystal.

space group	C2/m, No. 12
crystal system	monoclinic
ΔE_f (raw)	-1.17	eV/atom

Cell: 6.994 6.994 7.881 Å, 98.50 98.50 119.98°
Fractional positions:
Er 0.000 0.000 0.000
Np 0.333 0.667 0.000
Np 0.667 0.333 0.000
Tl 0.168 0.832 0.500
Tl 0.500 0.500 0.500
Tl 0.832 0.168 0.500
S 0.065 0.396 0.194
S 0.267 0.267 0.805
S 0.396 0.065 0.194
S 0.604 0.935 0.806
S 0.733 0.733 0.195
S 0.935 0.604 0.806


[2]
A plane-wave DFT calculation with PBE-GGA was carried out for a relaxed MnHRu2 crystal.

space group	Immm, No. 71
crystal system	orthorhombic
raw total energy	-7.681	eV/atom

Cell: 4.683 4.683 4.683 Å, 146.33 131.81 60.07°
Fractional positions:
Mn 0.000 0.000 0.000
H 0.500 0.000 0.500
Ru 0.328 0.328 0.000
Ru 0.672 0.672 0.000


[3]
A plane-wave DFT calculation with PBE-GGA was carried out for a relaxed TcPbBr2 crystal.

space group	Cmm2, No. 35
crystal system	orthorhombic
ΔE_f (raw)	0.38	eV/atom

Cell: 3.611 3.611 9.737 Å, 90.00 90.00 121.40°
Fractional positions:
Tc 0.000 0.000 0.000
Pb 0.500 0.500 0.767
Br 0.000 0.000 0.530
Br 0.500 0.500 0.178


[4]
A plane-wave DFT calculation with PBE-GGA was carried out for a relaxed ScAlRu2 crystal.

calculated formation energy	-0.288	eV per atom
space group	Cmmm, No. 65
crystal system	orthorhombic

Cell: 2.867 2.867 8.101 Å, 90.00 90.00 112.23°
Fractional positions:
Sc 0.000 0.000 0.000
Al 0.000 0.000 0.500
Ru 0.500 0.500 0.263
Ru 0.500 0.500 0.737


[5]
A plane-wave DFT calculation with PBE-GGA was carried out for a relaxed CeNdCO crystal.

space group	P4/mmm, No. 123
crystal system	tetragonal
ΔE_f (raw)	-1.54	eV/atom

Cell: 3.618 3.618 5.197 Å, 90.00 90.00 90.00°
Fractional positions:
Ce 0.000 0.000 0.000
Nd 0.500 0.500 0.500
C 0.500 0.500 0.000
O 0.000 0.000 0.500


[6]
A plane-wave DFT calculation with PBE-GGA was carried out for a relaxed Pm4Ga3Pt5 crystal.

calculated formation energy	-0.838	eV per atom
space group	C2/m, No. 12
crystal system	monoclinic

Cell: 6.869 6.869 8.384 Å, 108.92 108.92 48.28°
Fractional positions:
Pm 0.123 0.123 0.424
Pm 0.337 0.337 0.173
Pm 0.663 0.663 0.827
Pm 0.877 0.877 0.576
Ga 0.000 0.000 0.000
Ga 0.314 0.314 0.768
Ga 0.686 0.686 0.232
Pt 0.124 0.124 0.816
Pt 0.406 0.406 0.546
Pt 0.500 0.500 0.000
Pt 0.594 0.594 0.454
Pt 0.876 0.876 0.184


[7]
A plane-wave DFT calculation with PBE-GGA was carried out for a relaxed HoCd3Ag crystal.

calculated formation energy	-0.162	eV per atom
space group	Pnma, No. 62
crystal system	orthorhombic

Cell: 9.465 4.005 12.307 Å, 90.00 90.00 90.00°
Fractional positions:
Ho 0.171 0.250 0.003
Ho 0.329 0.750 0.503
Ho 0.671 0.250 0.497
Ho 0.829 0.750 0.997
Cd 0.068 0.250 0.409
Cd 0.078 0.750 0.201
Cd 0.157 0.750 0.800
Cd 0.343 0.250 0.300
Cd 0.422 0.250 0.701
Cd 0.432 0.750 0.909
Cd 0.568 0.250 0.091
Cd 0.578 0.750 0.299
Cd 0.657 0.750 0.700
Cd 0.843 0.250 0.200
Cd 0.922 0.250 0.799
Cd 0.932 0.750 0.591
Ag 0.142 0.250 0.631
Ag 0.358 0.750 0.131
Ag 0.642 0.250 0.869
Ag 0.858 0.750 0.369


[8]
A plane-wave DFT calculation with PBE-GGA was carried out for a relaxed RbSr2AsCl8 crystal.

space group	P2/m, No. 10
crystal system	monoclinic
ΔE_f (raw)	-1.73	eV/atom

Cell: 6.500 9.056 6.638 Å, 90.00 90.34 90.00°
Fractional positions:
Rb 0.000 0.000 0.000
Sr 0.500 0.254 0.500
Sr 0.500 0.746 0.500
As 0.000 0.500 0.000
Cl 0.222 0.303 0.154
Cl 0.222 0.697 0.154
Cl 0.243 0.500 0.689
Cl 0.268 0.000 0.616
Cl 0.732 0.000 0.384
Cl 0.757 0.500 0.311
Cl 0.778 0.303 0.846
Cl 0.778 0.697 0.846


[9]
A plane-wave DFT calculation with PBE-GGA was carried out for a relaxed Pr4CdPd crystal.

calculated formation energy	-0.295	eV per atom
space group	C2/c, No. 15
crystal system	monoclinic

Cell: 8.396 8.396 6.085 Å, 101.31 101.31 115.02°
Fractional positions:
Pr 0.080 0.700 0.932
Pr 0.202 0.361 0.639
Pr 0.300 0.920 0.568
Pr 0.361 0.202 0.139
Pr 0.639 0.798 0.861
Pr 0.700 0.080 0.432
Pr 0.798 0.639 0.361
Pr 0.920 0.300 0.068
Cd 0.385 0.615 0.250
Cd 0.615 0.385 0.750
Pd 0.002 0.998 0.250
Pd 0.998 0.002 0.750


[10]
A plane-wave DFT calculation with PBE-GGA was carried out for a relaxed HoThSc14 crystal.

calculated formation energy	0.010	eV per atom
space group	Amm2, No. 38
crystal system	orthorhombic

Cell: 10.454 6.683 6.683 Å, 60.36 90.00 90.00°
Fractional positions:
Ho 0.000 0.000 0.000
Th 0.000 0.498 0.498
Sc 0.000 0.001 0.504
Sc 0.000 0.504 0.001
Sc 0.253 0.668 0.668
Sc 0.256 0.170 0.170
Sc 0.258 0.170 0.667
Sc 0.258 0.667 0.170
Sc 0.500 0.001 0.502
Sc 0.500 0.002 0.002
Sc 0.500 0.502 0.001
Sc 0.500 0.502 0.502
Sc 0.742 0.170 0.667
Sc 0.742 0.667 0.170
Sc 0.744 0.170 0.170
Sc 0.747 0.668 0.668


[11]
A plane-wave DFT calculation with PBE-GGA was carried out for a relaxed LiMgI3 crystal.

space group	P-31m, No. 162
crystal system	trigonal
ΔE_f (raw)	-1.05	eV/atom

Cell: 7.479 7.479 8.333 Å, 90.00 90.00 120.00°
Fractional positions:
Li 0.000 0.000 0.211
Li 0.000 0.000 0.789
Mg 0.333 0.667 0.000
Mg 0.667 0.333 0.000
I 0.000 0.360 0.792
I 0.000 0.640 0.208
I 0.360 0.000 0.792
I 0.360 0.360 0.208
I 0.640 0.000 0.208
I 0.640 0.640 0.792


[12]
A plane-wave DFT calculation with PBE-GGA was carried out for a relaxed Tl3Te crystal.

space group	Immm, No. 71
crystal system	orthorhombic
ΔE_f (raw)	-0.18	eV/atom

Cell: 6.385 6.385 6.385 Å, 136.15 132.58 66.57°
Fractional positions:
Tl 0.000 0.000 0.000
Tl 0.255 0.755 0.500
Tl 0.745 0.245 0.500
Te 0.500 0.500 0.000


[13]
A plane-wave DFT calculation with PBE-GGA was carried out for a relaxed Pm2ZnCo3H12 crystal.

space group	R-3m, No. 166
crystal system	trigonal
raw total energy	-4.186	eV/atom

Cell: 5.760 5.760 5.760 Å, 61.91 61.91 61.91°
Fractional positions:
Pm 0.119 0.119 0.119
Pm 0.881 0.881 0.881
Zn 0.500 0.500 0.500
Co 0.000 0.500 0.500
Co 0.500 0.000 0.500
Co 0.500 0.500 0.000
H 0.121 0.609 0.609
H 0.178 0.178 0.621
H 0.178 0.621 0.178
H 0.379 0.822 0.822
H 0.391 0.391 0.879
H 0.391 0.879 0.391
H 0.609 0.121 0.609
H 0.609 0.609 0.121
H 0.621 0.178 0.178
H 0.822 0.379 0.822
H 0.822 0.822 0.379
H 0.879 0.391 0.391


[14]
A plane-wave DFT calculation with PBE-GGA was carried out for a relaxed Hf5IrRu4 crystal.

calculated formation energy	-0.832	eV per atom
space group	P4/mmm, No. 123
crystal system	tetragonal

Cell: 3.261 3.261 16.123 Å, 90.00 90.00 90.00°
Fractional positions:
Hf 0.000 0.000 0.000
Hf 0.000 0.000 0.200
Hf 0.000 0.000 0.399
Hf 0.000 0.000 0.601
Hf 0.000 0.000 0.800
Ir 0.500 0.500 0.500
Ru 0.500 0.500 0.100
Ru 0.500 0.500 0.301
Ru 0.500 0.500 0.699
Ru 0.500 0.500 0.900


[15]
A plane-wave DFT calculation with PBE-GGA was carried out for a relaxed In2PW crystal.

calculated formation energy	0.322	eV per atom
space group	Imm2, No. 44
crystal system	orthorhombic

Cell: 5.979 5.979 5.979 Å, 149.85 130.81 58.79°
Fractional positions:
In 0.000 0.000 0.000
In 0.704 0.204 0.500
P 0.278 0.778 0.500
W 0.449 0.449 0.000


[16]
A plane-wave DFT calculation with PBE-GGA was carried out for a relaxed CaGaP2O crystal.

space group	P4/mmm, No. 123
crystal system	tetragonal
ΔE_f (raw)	0.47	eV/atom

Cell: 5.374 5.374 4.215 Å, 90.00 90.00 90.00°
Fractional positions:
Ca 0.000 0.000 0.000
Ga 0.500 0.500 0.500
P 0.000 0.500 0.000
P 0.500 0.000 0.000
O 0.000 0.000 0.500


[17]
A plane-wave DFT calculation with PBE-GGA was carried out for a relaxed Pr8Ge3Se4 crystal.

space group	C2/m, No. 12
crystal system	monoclinic
ΔE_f (raw)	-1.36	eV/atom

Cell: 8.550 8.550 8.532 Å, 119.81 119.81 90.20°
Fractional positions:
Pr 0.246 0.246 0.001
Pr 0.246 0.246 0.496
Pr 0.248 0.752 0.000
Pr 0.250 0.750 0.500
Pr 0.750 0.250 0.500
Pr 0.752 0.248 0.000
Pr 0.754 0.754 0.504
Pr 0.754 0.754 0.999
Ge 0.000 0.000 0.000
Ge 0.000 0.500 0.500
Ge 0.500 0.000 0.500
Se 0.000 0.500 0.000
Se 0.500 0.000 0.000
Se 0.500 0.500 0.000
Se 0.500 0.500 0.500


[18]
A plane-wave DFT calculation with PBE-GGA was carried out for a relaxed Ta2TlP crystal.

calculated formation energy	0.438	eV per atom
space group	C2/m, No. 12
crystal system	monoclinic

Cell: 5.211 5.211 3.072 Å, 101.12 101.12 110.44°
Fractional positions:
Ta 0.000 0.500 0.000
Ta 0.500 0.000 0.000
Tl 0.000 0.000 0.500
P 0.500 0.500 0.500


[19]
A plane-wave DFT calculation with PBE-GGA was carried out for a relaxed CsRbBe2Co crystal.

calculated formation energy	0.942	eV per atom
space group	P4/mmm, No. 123
crystal system	tetragonal

Cell: 4.602 4.602 5.683 Å, 90.00 90.00 90.00°
Fractional positions:
Cs 0.000 0.000 0.000
Rb 0.500 0.500 0.000
Be 0.000 0.500 0.500
Be 0.500 0.000 0.500
Co 0.500 0.500 0.500


[20]
A plane-wave DFT calculation with PBE-GGA was carried out for a relaxed MnGaPt6 crystal.

calculated formation energy	-0.394	eV per atom
space group	P4/mmm, No. 123
crystal system	tetragonal

Cell: 3.944 3.944 7.855 Å, 90.00 90.00 90.00°
Fractional positions:
Mn 0.000 0.000 0.000
Ga 0.000 0.000 0.500
Pt 0.000 0.500 0.249
Pt 0.000 0.500 0.751
Pt 0.500 0.000 0.249
Pt 0.500 0.000 0.751
Pt 0.500 0.500 0.000
Pt 0.500 0.500 0.500


Number 1: magnetization 8.0 Bohr magnetons per cell. Number 2: magnetization 1.7 Bohr magnetons per cell. Number 3: magnetization 1.4 Bohr magnetons per cell. Number 4: magnetization 0.0 Bohr magnetons per cell. Number 5: magnetization 0.0 Bohr magnetons per cell. Number 6: magnetization 0.0 Bohr magnetons per cell. Number 7: magnetization 0.0 Bohr magnetons per cell. Number 8: magnetization 0.0 Bohr magnetons per cell. Number 9: magnetization 0.0 Bohr magnetons per cell. Number 10: magnetization 0.0 Bohr magnetons per cell. Number 11: magnetization 0.0 Bohr magnetons per cell. Number 12: magnetization 0.0 Bohr magnetons per cell. Number 13: magnetization 0.0 Bohr magnetons per cell. Number 14: magnetization 0.0 Bohr magnetons per cell. Number 15: magnetization 0.0 Bohr magnetons per cell. Number 16: magnetization 1.3 Bohr magnetons per cell. Number 17: magnetization 0.0 Bohr magnetons per cell. Number 18: magnetization 0.0 Bohr magnetons per cell. Number 19: magnetization 0.3 Bohr magnetons per cell. Number 20: magnetization 4.5 Bohr magnetons per cell.